[1]
Computed, not measured: crystalline Pm2Ir7 at its relaxed geometry at the GGA-PBE level of DFT.

For the mass density, the calculation gives 16.609 g/cm3. As for the formation energy: -458.9 meV/atom. The value obtained for the volume is 163.5 Å³/f.u.

The space group is R-3m (No. 166, hexagonal axes) and the conventional cell measures 5.3530, 5.3530 and 39.5359 Å, with angles of 90.00, 90.00 and 120.00 degrees. The asymmetric unit holds Pm at (0.0000, 0.0000, 0.0500), Pm at (0.0000, 0.0000, 0.1475), Ir at (0.0000, 0.0000, 0.2778), Ir at (0.0000, 0.0000, 0.3888), Ir at (0.0000, 0.0000, 0.5000), Ir at (0.0000, 0.5000, 0.0000) and Ir at (0.0007, 0.5003, 0.1095).

[2]
Computed, not measured: crystalline Pm4Ir at its relaxed geometry at the GGA-PBE level of DFT.

For the mass density, the calculation gives 7.946 g/cm3. The calculation puts the energy above the most stable polymorph in this dataset at 0.000 eV per atom. As for the formation energy: -334.1 meV/atom. The value obtained for the volume is 161.4 Å³/f.u.

The space group is I-42d (No. 122) and the conventional cell measures 8.786, 8.786 and 8.362 Å, with angles of 90.00, 90.00 and 90.00 degrees. The asymmetric unit holds Pm at (0.001, 0.697, 0.418) and Ir at (0.000, 0.000, 0.500).

- Which value of mass density does entry 1 give?
  16.609 g/cm3

- Which of these has the lowest mass density?
  Pm4Ir